An optimized crystal structure of MnHgPd4. Source: the Alexandria database, functional PBE.

- final energy (eV per atom) = -5.1939
- E_form (kJ/mol of atoms) = -15
- energy above the lowest structure with this stoichiometry (kJ per mole of atoms) = 0.00

Lattice parameters (Å, degrees): 4.871 8.556 4.860 90.00 106.88 90.00
Space group C2/m (No. 12)
Inequivalent atoms, fractional coordinates:
Mn 0.000 0.000 0.000 [2 per cell]
Hg 0.000 0.500 0.500 [2 per cell]
Pd 0.000 0.164 0.500 [4 per cell]
Pd 0.000 0.332 0.000 [4 per cell]

***

An optimized crystal structure of RbLi4Ce3I12. Source: the Alexandria database, functional PBE.

- final energy (eV per atom) = -3.4501
- ΔE_f (raw) (eV/atom) = -1.20

Lattice parameters (Å, degrees): 17.0154 17.0154 11.1250 90.00 90.00 120.00
Space group R32 (No. 155, hexagonal axes)
Inequivalent atoms, fractional coordinates:
Rb 0.0000 0.0000 0.0000 [3 per cell]
Li 0.0000 0.0000 0.5000 [3 per cell]
Li 0.0000 0.4153 0.5000 [9 per cell]
Ce 0.0000 0.5772 0.0000 [9 per cell]
I 0.0000 0.5773 0.5000 [9 per cell]
I 0.0000 0.8440 0.5000 [9 per cell]
I 0.0635 0.2277 0.1723 [18 per cell]

***

An optimized crystal structure of La2ZrAu. Source: the Alexandria database, functional PBE.

- final energy (eV per atom) = -5.5330
- E_form (kJ/mol of atoms) = -11
- energy above the lowest structure with this stoichiometry (kJ per mole of atoms) = 14.32

Lattice parameters (Å, degrees): 4.582 4.582 10.160 90.00 90.00 90.00
Space group I-4m2 (No. 119)
Inequivalent atoms, fractional coordinates:
La 0.000 0.000 0.000 [2 per cell]
La 0.000 0.500 0.250 [2 per cell]
Zr 0.000 0.500 0.750 [2 per cell]
Au 0.000 0.000 0.500 [2 per cell]

***

An optimized crystal structure of K2InHgP. Source: the Alexandria database, functional PBE.

- final energy (eV per atom) = -2.2336
- E_form (kJ/mol of atoms) = -10

Lattice parameters (Å, degrees): 6.285 6.285 5.175 90.00 90.00 90.00
Space group P4/mmm (No. 123)
Inequivalent atoms, fractional coordinates:
K 0.000 0.500 0.000 [2 per cell]
In 0.000 0.000 0.500 [1 per cell]
Hg 0.500 0.500 0.500 [1 per cell]
P 0.000 0.000 0.000 [1 per cell]

***

An optimized crystal structure of InGa6I8. Source: the Alexandria database, functional PBE.

- final energy (eV per atom) = -2.5291
- ΔE_f (raw) (eV/atom) = -0.31

Lattice parameters (Å, degrees): 7.5977 7.5977 33.1582 90.00 90.00 120.00
Space group R-3 (No. 148, hexagonal axes)
Inequivalent atoms, fractional coordinates:
In 0.0000 0.0000 0.0000 [3 per cell]
Ga 0.0010 0.6853 0.9421 [18 per cell]
I 0.0000 0.0000 0.3333 [6 per cell]
I 0.0002 0.3704 0.8929 [18 per cell]

***

An optimized crystal structure of Rb2OsRh. Source: the Alexandria database, functional PBE.

- final energy (eV per atom) = -3.9275
- E_form (kJ/mol of atoms) = 116
- energy above the lowest structure with this stoichiometry (kJ per mole of atoms) = 0.00

Lattice parameters (Å, degrees): 12.771 12.771 4.697 90.00 90.00 90.00
Space group I-42d (No. 122)
Inequivalent atoms, fractional coordinates:
Rb 0.065 0.250 0.125 [8 per cell]
Os 0.000 0.000 0.500 [4 per cell]
Rh 0.000 0.000 0.000 [4 per cell]

***

An optimized crystal structure of NdSc8. Source: the Alexandria database, functional PBE.

- final energy (eV per atom) = -6.1005
- E_form (kJ/mol of atoms) = 6

Lattice parameters (Å, degrees): 9.925 9.925 4.660 90.00 90.00 90.00
Space group I4/mmm (No. 139)
Inequivalent atoms, fractional coordinates:
Nd 0.000 0.000 0.000 [2 per cell]
Sc 0.000 0.336 0.000 [8 per cell]
Sc 0.170 0.170 0.500 [8 per cell]

***

An optimized crystal structure of Rb3PrDy2S6. Source: the Alexandria database, functional PBE.

- final energy (eV per atom) = -5.3099
- ΔE_f (raw) (eV/atom) = -1.84

Lattice parameters (Å, degrees): 7.170 12.419 8.068 90.00 107.24 90.00
Space group C2/m (No. 12)
Inequivalent atoms, fractional coordinates:
Rb 0.000 0.000 0.000 [2 per cell]
Rb 0.000 0.335 0.000 [4 per cell]
Pr 0.000 0.500 0.500 [2 per cell]
Dy 0.000 0.167 0.500 [4 per cell]
S 0.221 0.000 0.694 [4 per cell]
S 0.236 0.328 0.694 [8 per cell]

***

An optimized crystal structure of Na3Tb3HoTe8. Source: the Alexandria database, functional PBE.

- final energy (eV per atom) = -4.4274
- ΔE_f (raw) (eV/atom) = -1.26

Lattice parameters (Å, degrees): 15.158 8.751 9.214 90.00 123.25 90.00
Space group C2/m (No. 12)
Inequivalent atoms, fractional coordinates:
Na 0.000 0.000 0.000 [2 per cell]
Na 0.250 0.250 0.000 [4 per cell]
Tb 0.000 0.500 0.500 [2 per cell]
Tb 0.250 0.250 0.500 [4 per cell]
Ho 0.000 0.000 0.500 [2 per cell]
Te 0.006 0.250 0.269 [8 per cell]
Te 0.244 0.000 0.732 [4 per cell]
Te 0.245 0.500 0.734 [4 per cell]

***

An optimized crystal structure of TlOsRu2. Source: the Alexandria database, functional PBE.

- final energy (eV per atom) = -7.3121
- E_form (kJ/mol of atoms) = 70
- energy above the lowest structure with this stoichiometry (kJ per mole of atoms) = 30.46

Lattice parameters (Å, degrees): 5.662 7.864 2.853 90.00 90.00 90.00
Space group Cmmm (No. 65)
Inequivalent atoms, fractional coordinates:
Tl 0.000 0.000 0.000 [2 per cell]
Os 0.000 0.500 0.000 [2 per cell]
Ru 0.250 0.250 0.500 [4 per cell]

***

An optimized crystal structure of Ta4Mo. Source: the Alexandria database, functional PBE.

- final energy (eV per atom) = -11.6921
- E_form (kJ/mol of atoms) = -4
- energy above the lowest structure with this stoichiometry (kJ per mole of atoms) = 4.81

Lattice parameters (Å, degrees): 3.269 4.724 22.960 90.00 90.00 90.00
Space group Fmmm (No. 69)
Inequivalent atoms, fractional coordinates:
Ta 0.000 0.000 0.096 [8 per cell]
Ta 0.000 0.000 0.301 [8 per cell]
Mo 0.000 0.000 0.500 [4 per cell]

***

An optimized crystal structure of CdTc4As. Source: the Alexandria database, functional PBE.

- final energy (eV per atom) = -7.2969
- E_form (kJ/mol of atoms) = 52

Lattice parameters (Å, degrees): 7.394 7.394 7.394 90.00 90.00 90.00
Space group F-43m (No. 216)
Inequivalent atoms, fractional coordinates:
Cd 0.000 0.000 0.000 [4 per cell]
Tc 0.124 0.124 0.624 [16 per cell]
As 0.250 0.250 0.250 [4 per cell]

***

An optimized crystal structure of La3Mg3Sc2. Source: the Alexandria database, functional PBE.

- final energy (eV per atom) = -4.0623
- E_form (kJ/mol of atoms) = -3

Lattice parameters (Å, degrees): 3.731 5.589 22.340 90.00 90.00 90.00
Space group Immm (No. 71)
Inequivalent atoms, fractional coordinates:
La 0.000 0.000 0.000 [2 per cell]
La 0.000 0.500 0.130 [4 per cell]
Mg 0.000 0.000 0.500 [2 per cell]
Mg 0.000 0.500 0.372 [4 per cell]
Sc 0.000 0.000 0.239 [4 per cell]

***

An optimized crystal structure of Tm8CoPt2. Source: the Alexandria database, functional PBE.

- final energy (eV per atom) = -5.5488
- E_form (kJ/mol of atoms) = -53
- energy above the lowest structure with this stoichiometry (kJ per mole of atoms) = 0.00

Lattice parameters (Å, degrees): 16.928 4.928 6.673 90.00 107.26 90.00
Space group C2/m (No. 12)
Inequivalent atoms, fractional coordinates:
Tm 0.030 0.000 0.294 [4 per cell]
Tm 0.093 0.500 0.940 [4 per cell]
Tm 0.163 0.500 0.465 [4 per cell]
Tm 0.203 0.000 0.808 [4 per cell]
Co 0.000 0.500 0.500 [2 per cell]
Pt 0.186 0.000 0.209 [4 per cell]

***

An optimized crystal structure of PrNdMgIn. Source: the Alexandria database, functional PBE.

- final energy (eV per atom) = -3.8032
- E_form (kJ/mol of atoms) = -32

Lattice parameters (Å, degrees): 7.776 7.776 7.776 90.00 90.00 90.00
Space group F-43m (No. 216)
Inequivalent atoms, fractional coordinates:
Pr 0.000 0.000 0.000 [4 per cell]
Nd 0.000 0.000 0.500 [4 per cell]
Mg 0.250 0.250 0.750 [4 per cell]
In 0.250 0.250 0.250 [4 per cell]

***

An optimized crystal structure of InAu3N. Source: the Alexandria database, functional PBE.

- final energy (eV per atom) = -2.6468
- energy above the lowest structure with this stoichiometry (kJ per mole of atoms) = 86.50
- ΔE_f (raw) (eV/atom) = 1.53

Lattice parameters (Å, degrees): 5.302 5.302 5.302 90.00 90.00 90.00
Space group Pm-3m (No. 221)
Inequivalent atoms, fractional coordinates:
In 0.000 0.000 0.000 [1 per cell]
Au 0.000 0.000 0.500 [3 per cell]
N 0.500 0.500 0.500 [1 per cell]

***

An optimized crystal structure of BaAuO3. Source: the Alexandria database, functional PBE.

- final energy (eV per atom) = -5.0585
- ΔE_f (raw) (eV/atom) = -1.04

Lattice parameters (Å, degrees): 5.799 5.799 4.472 90.00 90.00 90.00
Space group P4/mbm (No. 127)
Inequivalent atoms, fractional coordinates:
Ba 0.000 0.500 0.000 [2 per cell]
Au 0.000 0.000 0.500 [2 per cell]
O 0.000 0.000 0.000 [2 per cell]
O 0.193 0.307 0.500 [4 per cell]